A geometry-optimized Al3PH structure, computed with PBE.

POSCAR file:
```
Al3PH
1.0
4.085 0.000 0.000
0.000 4.085 0.000
0.000 0.000 4.085
Al P H
3 1 1
direct
0.000 0.000 0.500 Al
0.000 0.500 0.000 Al
0.500 0.000 0.000 Al
0.500 0.500 0.500 P
0.000 0.000 0.000 H
```

- excess energy over the best structure of this formula in the dataset (meV per atom) = 0
- magnetization (μB/atom) = 0.00
- space group = Pm-3m
- Fermi-level density of states (states/eV/cell) = 2.1
- volume (Å³/cell) = 68



A geometry-optimized Al2PH structure, computed with PBE.

POSCAR file:
```
Al2PH
1.0
5.980 0.000 0.000
0.000 5.980 0.000
0.000 0.000 5.980
Al P H
8 4 4
direct
0.250 0.250 0.250 Al
0.250 0.250 0.750 Al
0.250 0.750 0.250 Al
0.250 0.750 0.750 Al
0.750 0.250 0.250 Al
0.750 0.250 0.750 Al
0.750 0.750 0.250 Al
0.750 0.750 0.750 Al
0.000 0.000 0.000 P
0.000 0.500 0.500 P
0.500 0.000 0.500 P
0.500 0.500 0.000 P
0.000 0.000 0.500 H
0.000 0.500 0.000 H
0.500 0.000 0.000 H
0.500 0.500 0.500 H
```

- excess energy over the best structure of this formula in the dataset (meV per atom) = 218
- magnetization (μB/atom) = 0.00
- space group = Fm-3m
- Fermi-level density of states (states/eV/cell) = 2.0
- volume (Å³/cell) = 214



A geometry-optimized Al3PH structure, computed with PBE.

POSCAR file:
```
Al3PH
1.0
4.779 0.000 0.000
0.000 4.779 0.000
0.000 0.000 4.779
Al P H
3 1 1
direct
0.000 0.000 0.500 Al
0.000 0.500 0.000 Al
0.500 0.000 0.000 Al
0.000 0.000 0.000 P
0.500 0.500 0.500 H
```

- excess energy over the best structure of this formula in the dataset (meV per atom) = 662
- magnetization (μB/atom) = 0.00
- space group = Pm-3m
- Fermi-level density of states (states/eV/cell) = 3.0
- volume (Å³/cell) = 109



A geometry-optimized AlP3H structure, computed with PBE.

POSCAR file:
```
AlP3H
1.0
4.636 0.000 0.000
0.000 4.636 0.000
0.000 0.000 4.636
Al P H
1 3 1
direct
0.000 0.000 0.000 Al
0.000 0.000 0.500 P
0.000 0.500 0.000 P
0.500 0.000 0.000 P
0.500 0.500 0.500 H
```

- excess energy over the best structure of this formula in the dataset (meV per atom) = 546
- magnetization (μB/atom) = 0.18
- space group = Pm-3m
- Fermi-level density of states (states/eV/cell) = 2.4
- volume (Å³/cell) = 100



A geometry-optimized AlPH2 structure, computed with PBE.

POSCAR file:
```
AlPH2
1.0
5.234 0.000 0.000
0.000 5.234 0.000
0.000 0.000 5.234
Al P H
4 4 8
direct
0.000 0.000 0.000 Al
0.000 0.500 0.500 Al
0.500 0.000 0.500 Al
0.500 0.500 0.000 Al
0.000 0.000 0.500 P
0.000 0.500 0.000 P
0.500 0.000 0.000 P
0.500 0.500 0.500 P
0.250 0.250 0.250 H
0.250 0.250 0.750 H
0.250 0.750 0.250 H
0.250 0.750 0.750 H
0.750 0.250 0.250 H
0.750 0.250 0.750 H
0.750 0.750 0.250 H
0.750 0.750 0.750 H
```

- excess energy over the best structure of this formula in the dataset (meV per atom) = 158
- magnetization (μB/atom) = 0.00
- space group = Fm-3m
- Fermi-level density of states (states/eV/cell) = 3.9
- volume (Å³/cell) = 143



A geometry-optimized AlPH2 structure, computed with PBE.

POSCAR file:
```
AlPH2
1.0
3.460 0.000 0.000
0.000 3.460 0.000
0.000 0.000 13.410
Al P H
4 4 8
direct
0.000 0.000 0.000 Al
0.000 0.500 0.250 Al
0.500 0.000 0.750 Al
0.500 0.500 0.500 Al
0.000 0.000 0.500 P
0.000 0.500 0.750 P
0.500 0.000 0.250 P
0.500 0.500 0.000 P
0.232 0.250 0.125 H
0.250 0.732 0.375 H
0.250 0.768 0.875 H
0.268 0.250 0.625 H
0.732 0.750 0.625 H
0.750 0.232 0.875 H
0.750 0.268 0.375 H
0.768 0.750 0.125 H
```

- excess energy over the best structure of this formula in the dataset (meV per atom) = 0
- magnetization (μB/atom) = 0.00
- space group = I-42d
- Fermi-level density of states (states/eV/cell) = 3.8
- volume (Å³/cell) = 161



A geometry-optimized AlRe2PH structure, computed with PBE.

POSCAR file:
```
AlRe2PH
1.0
4.381 0.000 0.000
0.000 4.381 0.000
0.000 0.000 4.467
Al Re P H
1 2 1 1
direct
0.000 0.000 0.000 Al
0.000 0.500 0.500 Re
0.500 0.000 0.500 Re
0.000 0.000 0.500 P
0.500 0.500 0.000 H
```

- total DFT energy (no corrections) (eV/atom) = -5.899
- magnetization (μB/atom) = 0.00
- space group = P4/mmm
- Fermi-level density of states (states/eV/cell) = 7.0
- volume (Å³/cell) = 86



A geometry-optimized AlPHS2 structure, computed with PBE.

POSCAR file:
```
AlPHS2
1.0
4.582 0.000 0.000
0.000 4.582 0.000
0.000 0.000 3.209
Al P H S
1 1 1 2
direct
0.000 0.000 0.000 Al
0.500 0.500 0.000 P
0.500 0.500 0.500 H
0.000 0.500 0.500 S
0.500 0.000 0.500 S
```

- excess energy over the best structure of this formula in the dataset (meV per atom) = 0
- magnetization (μB/atom) = 0.00
- space group = P4/mmm
- Fermi-level density of states (states/eV/cell) = 2.0
- volume (Å³/cell) = 67



A geometry-optimized AlPHS2 structure, computed with PBE.

POSCAR file:
```
AlPHS2
1.0
4.629 0.000 0.000
0.000 4.629 0.000
0.000 0.000 4.706
Al P H S
1 1 1 2
direct
0.000 0.000 0.000 Al
0.000 0.000 0.500 P
0.500 0.500 0.500 H
0.000 0.500 0.000 S
0.500 0.000 0.000 S
```

- excess energy over the best structure of this formula in the dataset (meV per atom) = 326
- magnetization (μB/atom) = 0.19
- space group = P4/mmm
- Fermi-level density of states (states/eV/cell) = 3.6
- volume (Å³/cell) = 101



A geometry-optimized AlP2HS structure, computed with PBE.

POSCAR file:
```
AlP2HS
1.0
3.469 0.000 0.000
0.000 3.469 0.000
0.000 0.000 6.678
Al P H S
1 2 1 1
direct
0.000 0.000 0.000 Al
0.000 0.500 0.500 P
0.500 0.000 0.500 P
0.500 0.500 0.500 H
0.500 0.500 0.000 S
```

- excess energy over the best structure of this formula in the dataset (meV per atom) = 0
- magnetization (μB/atom) = 0.00
- space group = P4/mmm
- Fermi-level density of states (states/eV/cell) = 1.1
- volume (Å³/cell) = 80



A geometry-optimized AlP2HS structure, computed with PBE.

POSCAR file:
```
AlP2HS
1.0
4.668 0.000 0.000
0.000 4.668 0.000
0.000 0.000 4.633
Al P H S
1 2 1 1
direct
0.000 0.000 0.000 Al
0.000 0.500 0.000 P
0.500 0.000 0.000 P
0.500 0.500 0.500 H
0.000 0.000 0.500 S
```

- excess energy over the best structure of this formula in the dataset (meV per atom) = 635
- magnetization (μB/atom) = 0.13
- space group = P4/mmm
- Fermi-level density of states (states/eV/cell) = 3.0
- volume (Å³/cell) = 101



A geometry-optimized PaAlH6 structure, computed with PBE.

POSCAR file:
```
PaAlH6
1.0
2.033 1.174 4.453
-2.033 1.174 4.453
0.000 -2.348 4.453
Pa Al H
1 1 6
direct
0.000 0.000 0.000 Pa
0.500 0.500 0.500 Al
0.046 0.589 0.589 H
0.411 0.411 0.954 H
0.411 0.954 0.411 H
0.589 0.046 0.589 H
0.589 0.589 0.046 H
0.954 0.411 0.411 H
```

- total DFT energy (no corrections) (eV/atom) = -4.267
- magnetization (μB/atom) = 0.00
- space group = R-3m
- Fermi-level density of states (states/eV/cell) = 3.3
- volume (Å³/cell) = 64



A geometry-optimized PaAlH structure, computed with PBE.

POSCAR file:
```
PaAlH
1.0
3.031 0.000 0.000
0.000 3.031 0.000
0.000 0.000 10.930
Pa Al H
2 2 2
direct
0.000 0.000 0.000 Pa
0.500 0.500 0.500 Pa
0.000 0.000 0.291 Al
0.500 0.500 0.791 Al
0.000 0.000 0.584 H
0.500 0.500 0.084 H
```

- excess energy over the best structure of this formula in the dataset (meV per atom) = 401
- magnetization (μB/atom) = 0.20
- space group = I4mm
- Fermi-level density of states (states/eV/cell) = 7.2
- volume (Å³/cell) = 100



A geometry-optimized Pa2AlH structure, computed with PBE.

POSCAR file:
```
Pa2AlH
1.0
3.190 0.000 0.000
-1.595 2.763 0.000
0.000 0.000 24.676
Pa Al H
6 3 3
direct
0.000 0.000 0.230 Pa
0.000 0.000 0.770 Pa
0.333 0.667 0.436 Pa
0.333 0.667 0.897 Pa
0.667 0.333 0.103 Pa
0.667 0.333 0.564 Pa
0.000 0.000 0.000 Al
0.333 0.667 0.667 Al
0.667 0.333 0.333 Al
0.000 0.000 0.500 H
0.333 0.667 0.167 H
0.667 0.333 0.833 H
```

- excess energy over the best structure of this formula in the dataset (meV per atom) = 0
- magnetization (μB/atom) = 0.00
- space group = R-3m
- Fermi-level density of states (states/eV/cell) = 15.4
- volume (Å³/cell) = 218



A geometry-optimized Pa3Al5H12 structure, computed with PBE.

POSCAR file:
```
Pa3Al5H12
1.0
-5.977 5.977 5.977
5.977 -5.977 5.977
5.977 5.977 -5.977
Pa Al H
12 20 48
direct
0.125 0.250 0.375 Pa
0.125 0.375 0.750 Pa
0.250 0.375 0.125 Pa
0.250 0.875 0.625 Pa
0.375 0.125 0.250 Pa
0.375 0.750 0.125 Pa
0.625 0.250 0.875 Pa
0.625 0.875 0.750 Pa
0.750 0.125 0.375 Pa
0.750 0.625 0.875 Pa
0.875 0.625 0.250 Pa
0.875 0.750 0.625 Pa
0.000 0.000 0.000 Al
0.000 0.000 0.500 Al
0.000 0.500 0.000 Al
0.000 0.500 0.500 Al
0.125 0.750 0.875 Al
0.125 0.875 0.250 Al
0.250 0.125 0.875 Al
0.250 0.625 0.375 Al
0.375 0.250 0.625 Al
0.375 0.625 0.750 Al
0.500 0.000 0.000 Al
0.500 0.000 0.500 Al
0.500 0.500 0.000 Al
0.500 0.500 0.500 Al
0.625 0.375 0.250 Al
0.625 0.750 0.375 Al
0.750 0.375 0.625 Al
0.750 0.875 0.125 Al
0.875 0.125 0.750 Al
0.875 0.250 0.125 Al
0.053 0.236 0.148 H
0.053 0.317 0.905 H
0.088 0.736 0.683 H
0.088 0.852 0.405 H
0.095 0.648 0.412 H
0.095 0.947 0.683 H
0.148 0.053 0.236 H
0.148 0.595 0.912 H
0.183 0.236 0.588 H
0.183 0.447 0.595 H
0.236 0.148 0.053 H
0.236 0.588 0.183 H
0.264 0.317 0.912 H
0.264 0.447 0.352 H
0.317 0.905 0.053 H
0.317 0.912 0.264 H
0.352 0.264 0.447 H
0.352 0.588 0.905 H
0.405 0.088 0.852 H
0.405 0.817 0.553 H
0.412 0.095 0.648 H
0.412 0.817 0.764 H
0.447 0.352 0.264 H
0.447 0.595 0.183 H
0.553 0.405 0.817 H
0.553 0.648 0.736 H
0.588 0.183 0.236 H
0.588 0.905 0.352 H
0.595 0.183 0.447 H
0.595 0.912 0.148 H
0.648 0.412 0.095 H
0.648 0.736 0.553 H
0.683 0.088 0.736 H
0.683 0.095 0.947 H
0.736 0.553 0.648 H
0.736 0.683 0.088 H
0.764 0.412 0.817 H
0.764 0.852 0.947 H
0.817 0.553 0.405 H
0.817 0.764 0.412 H
0.852 0.405 0.088 H
0.852 0.947 0.764 H
0.905 0.053 0.317 H
0.905 0.352 0.588 H
0.912 0.148 0.595 H
0.912 0.264 0.317 H
0.947 0.683 0.095 H
0.947 0.764 0.852 H
```

- total DFT energy (no corrections) (eV/atom) = -4.360
- magnetization (μB/atom) = 0.00
- space group = Ia-3d
- Fermi-level density of states (states/eV/cell) = 34.0
- volume (Å³/cell) = 854



A geometry-optimized PaAl3H structure, computed with PBE.

POSCAR file:
```
PaAl3H
1.0
4.340 0.000 0.000
0.000 4.340 0.000
0.000 0.000 4.340
Pa Al H
1 3 1
direct
0.000 0.000 0.000 Pa
0.000 0.500 0.500 Al
0.500 0.000 0.500 Al
0.500 0.500 0.000 Al
0.500 0.500 0.500 H
```

- total DFT energy (no corrections) (eV/atom) = -4.829
- magnetization (μB/atom) = 0.09
- space group = Pm-3m
- Fermi-level density of states (states/eV/cell) = 5.9
- volume (Å³/cell) = 82



A geometry-optimized PaAlH2 structure, computed with PBE.

POSCAR file:
```
PaAlH2
1.0
3.185 0.000 0.000
-1.592 2.758 0.000
0.000 0.000 16.497
Pa Al H
3 3 6
direct
0.000 0.000 0.000 Pa
0.333 0.667 0.667 Pa
0.667 0.333 0.333 Pa
0.000 0.000 0.500 Al
0.333 0.667 0.167 Al
0.667 0.333 0.833 Al
0.000 0.000 0.130 H
0.000 0.000 0.870 H
0.333 0.667 0.537 H
0.333 0.667 0.797 H
0.667 0.333 0.203 H
0.667 0.333 0.463 H
```

- total DFT energy (no corrections) (eV/atom) = -5.005
- magnetization (μB/atom) = 0.00
- space group = R-3m
- Fermi-level density of states (states/eV/cell) = 9.7
- volume (Å³/cell) = 145



A geometry-optimized Pa2AlH structure, computed with PBE.

POSCAR file:
```
Pa2AlH
1.0
2.966 0.000 0.000
0.000 2.966 0.000
0.000 0.000 7.697
Pa Al H
2 1 1
direct
0.000 0.000 0.193 Pa
0.000 0.000 0.807 Pa
0.500 0.500 0.500 Al
0.500 0.500 0.000 H
```

- excess energy over the best structure of this formula in the dataset (meV per atom) = 164
- magnetization (μB/atom) = 0.00
- space group = P4/mmm
- Fermi-level density of states (states/eV/cell) = 4.4
- volume (Å³/cell) = 68



A geometry-optimized PaAlH structure, computed with PBE.

POSCAR file:
```
PaAlH
1.0
3.109 0.000 0.000
-1.555 2.693 0.000
0.000 0.000 11.610
Pa Al H
2 2 2
direct
0.000 0.000 0.000 Pa
0.333 0.667 0.500 Pa
0.333 0.667 0.225 Al
0.333 0.667 0.775 Al
0.000 0.000 0.383 H
0.000 0.000 0.617 H
```

- excess energy over the best structure of this formula in the dataset (meV per atom) = 372
- magnetization (μB/atom) = 0.00
- space group = P-6m2
- Fermi-level density of states (states/eV/cell) = 5.6
- volume (Å³/cell) = 97



A geometry-optimized PaAlH structure, computed with PBE.

POSCAR file:
```
PaAlH
1.0
4.040 0.000 0.000
0.000 11.284 0.000
0.000 0.000 4.217
Pa Al H
4 4 4
direct
0.000 0.156 0.250 Pa
0.000 0.844 0.750 Pa
0.500 0.344 0.750 Pa
0.500 0.656 0.250 Pa
0.000 0.433 0.250 Al
0.000 0.567 0.750 Al
0.500 0.067 0.750 Al
0.500 0.933 0.250 Al
0.000 0.245 0.750 H
0.000 0.755 0.250 H
0.500 0.255 0.250 H
0.500 0.745 0.750 H
```

- excess energy over the best structure of this formula in the dataset (meV per atom) = 0
- magnetization (μB/atom) = 0.07
- space group = Cmcm
- Fermi-level density of states (states/eV/cell) = 16.2
- volume (Å³/cell) = 192